Entry A
Density functional theory data (PBE) for PmSm2Ru after structural relaxation.

The space group is Cmcm (No. 63) and the conventional cell measures 3.9745, 12.2301 and 9.4087 Å, with angles of 90.00, 90.00 and 90.00 degrees. Symmetry generates all atoms from Pm at (0.0000, 0.0795, 0.2500), Sm at (0.0000, 0.3570, 0.0698) and Ru at (0.0000, 0.2544, 0.7500).

The density of states at the Fermi level is 14.404 states/eV per cell. Its theoretical density is 7.94 Mg/m³.



Entry B
Density functional theory data (PBE) for PmSm2Ru after structural relaxation.

The space group is P4/mmm (No. 123) and the conventional cell measures 3.4957, 3.4957 and 9.2494 Å, with angles of 90.00, 90.00 and 90.00 degrees. Symmetry generates all atoms from Pm at (0.0000, 0.0000, 0.0000), Sm at (0.5000, 0.5000, 0.3178) and Ru at (0.0000, 0.0000, 0.5000).

The density of states at the Fermi level is 3.686 states/eV per cell. Its theoretical density is 8.03 Mg/m³.



Entry C
Density functional theory data (PBE) for PmSm2Ru after structural relaxation.

The space group is Pnma (No. 62) and the conventional cell measures 7.3853, 9.5736 and 6.4449 Å, with angles of 90.00, 90.00 and 90.00 degrees. Symmetry generates all atoms from Pm at (0.0419, 0.2500, 0.1411), Sm at (0.1767, 0.0667, 0.6699) and Ru at (0.1141, 0.7500, 0.4500).

The density of states at the Fermi level is 15.192 states/eV per cell. Its theoretical density is 7.97 Mg/m³.



Entry D
Density functional theory data (PBE) for PmSm2Ru after structural relaxation.

The space group is R-3m (No. 166, hexagonal axes) and the conventional cell measures 3.6088, 3.6088 and 32.4474 Å, with angles of 90.00, 90.00 and 120.00 degrees. Symmetry generates all atoms from Pm at (0.0000, 0.0000, 0.0000), Sm at (0.0000, 0.0000, 0.1086) and Ru at (0.0000, 0.0000, 0.5000).

The density of states at the Fermi level is 19.331 states/eV per cell. Its theoretical density is 7.44 Mg/m³.



Stability summary: most stable entry C, least stable entry D.



Entry A
Density functional theory data (PBE) for PmSmZnRu after structural relaxation.

The space group is F-43m (No. 216) and the conventional cell measures 7.1204, 7.1204 and 7.1204 Å, with angles of 90.00, 90.00 and 90.00 degrees. Symmetry generates all atoms from Pm at (0.0000, 0.0000, 0.0000), Sm at (0.0000, 0.0000, 0.5000), Zn at (0.2500, 0.2500, 0.2500) and Ru at (0.2500, 0.2500, 0.7500).

The density of states at the Fermi level is 15.237 states/eV per cell. Its theoretical density is 8.50 Mg/m³.



Entry B
Density functional theory data (PBE) for PmSmZnRu after structural relaxation.

The space group is Amm2 (No. 38) and the conventional cell measures 4.3435, 4.0586 and 10.7680 Å, with angles of 90.00, 90.00 and 90.00 degrees. Symmetry generates all atoms from Pm at (0.0000, 0.0000, 0.0000), Sm at (0.5000, 0.0000, 0.2793), Zn at (0.5000, 0.0000, 0.5727) and Ru at (0.0000, 0.0000, 0.7128).

The density of states at the Fermi level is 8.803 states/eV per cell. Its theoretical density is 8.08 Mg/m³.



Stability summary: most stable entry B, least stable entry A.



Entry A
Density functional theory data (PBE) for Pm2Sn8Ru after structural relaxation.

The space group is P4/mmm (No. 123) and the conventional cell measures 4.7254, 4.7254 and 12.4804 Å, with angles of 90.00, 90.00 and 90.00 degrees. Symmetry generates all atoms from Pm at (0.0000, 0.0000, 0.1919), Sn at (0.0000, 0.5000, 0.0000), Sn at (0.0000, 0.5000, 0.3801), Sn at (0.5000, 0.5000, 0.1950) and Ru at (0.0000, 0.0000, 0.5000).

The density of states at the Fermi level is 5.393 states/eV per cell. Its theoretical density is 7.99 Mg/m³.



Entry B
Density functional theory data (PBE) for Pm2Sn8Ru after structural relaxation.

The space group is C2/m (No. 12) and the conventional cell measures 20.7409, 4.3357 and 6.7479 Å, with angles of 90.00, 105.68 and 90.00 degrees. Symmetry generates all atoms from Pm at (0.1846, 0.0000, 0.1093), Sn at (0.0171, 0.0000, 0.7741), Sn at (0.0998, 0.5000, 0.3080), Sn at (0.1281, 0.5000, 0.7643), Sn at (0.2082, 0.0000, 0.6066) and Ru at (0.0000, 0.5000, 0.5000).

The density of states at the Fermi level is 10.990 states/eV per cell. Its theoretical density is 7.62 Mg/m³.



Stability summary: most stable entry A, least stable entry B.



Entry A
Density functional theory data (PBE) for PmSn3Ru after structural relaxation.

The space group is Amm2 (No. 38) and the conventional cell measures 4.6146, 4.7481 and 11.3231 Å, with angles of 90.00, 90.00 and 90.00 degrees. Symmetry generates all atoms from Pm at (0.0000, 0.0000, 0.0000), Sn at (0.0000, 0.0000, 0.7097), Sn at (0.5000, 0.0000, 0.1931), Sn at (0.5000, 0.0000, 0.4660) and Ru at (0.0000, 0.0000, 0.3189).

The density of states at the Fermi level is 6.003 states/eV per cell. Its theoretical density is 8.06 Mg/m³.



Entry B
Density functional theory data (PBE) for PmSn3Ru after structural relaxation.

The space group is C2/c (No. 15) and the conventional cell measures 12.8406, 13.3063 and 5.7907 Å, with angles of 90.00, 97.76 and 90.00 degrees. Symmetry generates all atoms from Pm at (0.1320, 0.0800, 0.0195), Sn at (0.0999, 0.1754, 0.5162), Sn at (0.1465, 0.3174, 0.1326), Sn at (0.1566, 0.4344, 0.6151), Ru at (0.0000, 0.3192, 0.7500) and Ru at (0.0000, 0.4535, 0.2500).

The density of states at the Fermi level is 33.006 states/eV per cell. Its theoretical density is 8.16 Mg/m³.



Stability summary: most stable entry A, least stable entry B.



Entry A
Density functional theory data (PBE) for PmSn3Ru2 after structural relaxation.

The space group is C2/m (No. 12) and the conventional cell measures 17.8344, 4.2950 and 10.6064 Å, with angles of 90.00, 104.27 and 90.00 degrees. Symmetry generates all atoms from Pm at (0.0000, 0.0000, 0.0000), Pm at (0.1427, 0.0000, 0.6869), Sn at (0.0000, 0.5000, 0.5000), Sn at (0.0537, 0.0000, 0.3478), Sn at (0.1354, 0.5000, 0.1811), Sn at (0.1508, 0.5000, 0.9201), Sn at (0.2298, 0.0000, 0.3697), Ru at (0.0088, 0.5000, 0.7709), Ru at (0.1416, 0.5000, 0.4397) and Ru at (0.2038, 0.0000, 0.0904).

The density of states at the Fermi level is 26.149 states/eV per cell. Its theoretical density is 8.90 Mg/m³.



Entry B
Density functional theory data (PBE) for PmSn3Ru2 after structural relaxation.

The space group is P-3m1 (No. 164) and the conventional cell measures 6.4639, 6.4639 and 7.2177 Å, with angles of 90.00, 90.00 and 120.00 degrees. Symmetry generates all atoms from Pm at (0.3333, 0.6667, 0.1669), Sn at (0.1682, 0.3365, 0.7752), Ru at (0.0000, 0.0000, 0.5000) and Ru at (0.0000, 0.5000, 0.5000).

The density of states at the Fermi level is 9.988 states/eV per cell. Its theoretical density is 8.94 Mg/m³.



Stability summary: most stable entry A, least stable entry B.



Entry A
Density functional theory data (PBE) for Pm3SnRu after structural relaxation.

The space group is C2/m (No. 12) and the conventional cell measures 11.7832, 4.6812 and 10.2269 Å, with angles of 90.00, 97.06 and 90.00 degrees. Symmetry generates all atoms from Pm at (0.1049, 0.0000, 0.3877), Pm at (0.1182, 0.5000, 0.6727), Pm at (0.1450, 0.5000, 0.1100), Sn at (0.0766, 0.0000, 0.8882) and Ru at (0.2374, 0.5000, 0.3813).

The density of states at the Fermi level is 12.574 states/eV per cell. Its theoretical density is 7.77 Mg/m³.



Entry B
Density functional theory data (PBE) for Pm3SnRu after structural relaxation.

The space group is Pm-3m (No. 221) and the conventional cell measures 5.3816, 5.3816 and 5.3816 Å, with angles of 90.00, 90.00 and 90.00 degrees. Symmetry generates all atoms from Pm at (0.0000, 0.0000, 0.5000), Sn at (0.5000, 0.5000, 0.5000) and Ru at (0.0000, 0.0000, 0.0000).

The density of states at the Fermi level is 3.142 states/eV per cell. Its theoretical density is 6.98 Mg/m³.



Entry C
Density functional theory data (PBE) for Pm3SnRu after structural relaxation.

The space group is P2_1/m (No. 11) and the conventional cell measures 5.1884, 5.4081 and 10.3490 Å, with angles of 90.00, 90.97 and 90.00 degrees. Symmetry generates all atoms from Pm at (0.0063, 0.2500, 0.1061), Pm at (0.0076, 0.7500, 0.3245), Pm at (0.4863, 0.7500, 0.6375), Sn at (0.4970, 0.2500, 0.8713) and Ru at (0.0165, 0.2500, 0.3930).

The density of states at the Fermi level is 7.369 states/eV per cell. Its theoretical density is 7.49 Mg/m³.



Stability summary: most stable entry A, least stable entry B.



Entry A
Density functional theory data (PBE) for PmSnRu after structural relaxation.

The space group is P2_1/c (No. 14) and the conventional cell measures 6.4706, 6.1592 and 7.6014 Å, with angles of 90.00, 112.45 and 90.00 degrees. Symmetry generates all atoms from Pm at (0.2426, 0.1517, 0.4060), Sn at (0.2034, 0.6494, 0.5168) and Ru at (0.4245, 0.5788, 0.2892).

The density of states at the Fermi level is 5.253 states/eV per cell. Its theoretical density is 8.65 Mg/m³.



Entry B
Density functional theory data (PBE) for PmSnRu after structural relaxation.

The space group is P-6m2 (No. 187) and the conventional cell measures 4.6648, 4.6648 and 3.6762 Å, with angles of 90.00, 90.00 and 120.00 degrees. Symmetry generates all atoms from Pm at (0.0000, 0.0000, 0.0000), Sn at (0.6667, 0.3333, 0.5000) and Ru at (0.3333, 0.6667, 0.5000).

The density of states at the Fermi level is 2.796 states/eV per cell. Its theoretical density is 8.74 Mg/m³.



Stability summary: most stable entry A, least stable entry B.



Entry A
Density functional theory data (PBE) for PmSnRu after structural relaxation.

The space group is Pnma (No. 62) and the conventional cell measures 7.5536, 4.8493 and 7.4102 Å, with angles of 90.00, 90.00 and 90.00 degrees. Symmetry generates all atoms from Pm at (0.0302, 0.2500, 0.1940), Sn at (0.1991, 0.2500, 0.6113) and Ru at (0.1534, 0.7500, 0.4442).

The density of states at the Fermi level is 8.782 states/eV per cell. Its theoretical density is 8.93 Mg/m³.



Entry B
Density functional theory data (PBE) for PmSnRu after structural relaxation.

The space group is F-43m (No. 216) and the conventional cell measures 6.6594, 6.6594 and 6.6594 Å, with angles of 90.00, 90.00 and 90.00 degrees. Symmetry generates all atoms from Pm at (0.0000, 0.0000, 0.0000), Sn at (0.0000, 0.0000, 0.5000) and Ru at (0.2500, 0.2500, 0.2500).

The density of states at the Fermi level is 8.997 states/eV per cell. Its theoretical density is 8.20 Mg/m³.



Stability summary: most stable entry A, least stable entry B.